No. 1
Entry from the Alexandria database: a relaxed structure of Th2ZnSi3Ir4 (PBE-GGA).

## Properties
DOS(E_F) = 4.77 states/eV/f.u.
Formation energy without anion corrections = -0.976 eV/atom
V = 17.76 Å³ per atom
Total magnetic moment = 0.000 μB per atom
Density = 12.93 g/cm3
Crystal system = tetragonal

Cell and atoms, written as CIF:
```
data_Th2ZnSi3Ir4
_cell_length_a 4.173
_cell_length_b 4.173
_cell_length_c 10.197
_cell_angle_alpha 90.00
_cell_angle_beta 90.00
_cell_angle_gamma 90.00
_symmetry_space_group_name_H-M 'P 1'
_symmetry_Int_Tables_number 1
loop_
_symmetry_equiv_pos_as_xyz
'x,y,z'
loop_
_atom_site_label
_atom_site_type_symbol
_atom_site_fract_x
_atom_site_fract_y
_atom_site_fract_z
Si1 Si 0.000 0.500 0.127
Si2 Si 0.500 0.000 0.873
Si3 Si 0.000 0.000 0.500
Zn1 Zn 0.500 0.500 0.500
Ir1 Ir 0.500 0.000 0.640
Ir2 Ir 0.500 0.500 0.000
Ir3 Ir 0.000 0.500 0.360
Ir4 Ir 0.000 0.000 0.000
Th1 Th 0.000 0.500 0.744
Th2 Th 0.500 0.000 0.256
```



No. 2
Entry from the Alexandria database: a relaxed structure of KBiI6 (PBE-GGA).

## Properties
Formation energy without anion corrections = -0.511 eV/atom
V = 62.89 Å³ per atom
Total magnetic moment = 0.000 μB per atom
Density = 3.33 g/cm3
Crystal system = triclinic

Cell and atoms, written as CIF:
```
data_KBiI6
_cell_length_a 11.899
_cell_length_b 8.857
_cell_length_c 7.162
_cell_angle_alpha 59.47
_cell_angle_beta 86.55
_cell_angle_gamma 55.00
_symmetry_space_group_name_H-M 'P 1'
_symmetry_Int_Tables_number 1
loop_
_symmetry_equiv_pos_as_xyz
'x,y,z'
loop_
_atom_site_label
_atom_site_type_symbol
_atom_site_fract_x
_atom_site_fract_y
_atom_site_fract_z
I1 I 0.943 0.645 0.251
I2 I 0.298 0.623 0.038
I3 I 0.702 0.377 0.962
I4 I 0.847 0.980 0.688
I5 I 0.153 0.020 0.312
I6 I 0.057 0.355 0.749
Bi1 Bi 0.000 0.000 0.000
K1 K 0.500 0.500 0.500
```



No. 3
Entry from the Alexandria database: a relaxed structure of NaSr2Hg7 (PBE-GGA).

## Properties
DOS(E_F) = 4.96 states/eV/f.u.
V = 29.72 Å³ per atom
Calculated total energy = -0.98 eV/atom
Total magnetic moment = 0.000 μB per atom
Density = 8.95 g/cm3
Crystal system = trigonal

Cell and atoms, written as CIF:
```
data_NaSr2Hg7
_cell_length_a 5.193
_cell_length_b 5.193
_cell_length_c 12.725
_cell_angle_alpha 90.00
_cell_angle_beta 90.00
_cell_angle_gamma 120.00
_symmetry_space_group_name_H-M 'P 1'
_symmetry_Int_Tables_number 1
loop_
_symmetry_equiv_pos_as_xyz
'x,y,z'
loop_
_atom_site_label
_atom_site_type_symbol
_atom_site_fract_x
_atom_site_fract_y
_atom_site_fract_z
Hg1 Hg 0.000 0.000 0.210
Hg2 Hg 0.333 0.667 0.417
Hg3 Hg 0.667 0.333 0.050
Hg4 Hg 0.667 0.333 0.801
Hg5 Hg 0.000 0.000 0.501
Hg6 Hg 0.333 0.667 0.919
Hg7 Hg 0.333 0.667 0.158
Sr1 Sr 0.333 0.667 0.665
Sr2 Sr 0.667 0.333 0.319
Na1 Na 0.000 0.000 0.943
```



No. 4
Entry from the Alexandria database: a relaxed structure of BaSbHPd2 (PBE-GGA).

## Properties
DOS(E_F) = 1.72 states/eV/f.u.
V = 20.08 Å³ per atom
Calculated total energy = -4.60 eV/atom
Total magnetic moment = 0.000 μB per atom
Density = 7.82 g/cm3
Crystal system = orthorhombic

Cell and atoms, written as CIF:
```
data_BaSbHPd2
_cell_length_a 4.416
_cell_length_b 6.408
_cell_length_c 7.557
_cell_angle_alpha 90.00
_cell_angle_beta 90.00
_cell_angle_gamma 110.15
_symmetry_space_group_name_H-M 'P 1'
_symmetry_Int_Tables_number 1
loop_
_symmetry_equiv_pos_as_xyz
'x,y,z'
loop_
_atom_site_label
_atom_site_type_symbol
_atom_site_fract_x
_atom_site_fract_y
_atom_site_fract_z
Sb1 Sb 0.724 0.447 0.750
Sb2 Sb 0.276 0.553 0.250
Ba1 Ba 0.444 0.887 0.750
Ba2 Ba 0.556 0.113 0.250
Pd1 Pd 0.842 0.683 0.444
Pd2 Pd 0.842 0.683 0.056
Pd3 Pd 0.158 0.317 0.556
Pd4 Pd 0.158 0.317 0.944
H1 H 0.000 0.000 0.000
H2 H 0.000 0.000 0.500
```



No. 5
Entry from the Alexandria database: a relaxed structure of Y2MnPt (PBE-GGA).

## Properties
DOS(E_F) = 4.53 states/eV/f.u.
V = 21.84 Å³ per atom
Calculated total energy = -7.53 eV/atom
Total magnetic moment = 0.748 μB per atom
Density = 8.13 g/cm3
Crystal system = tetragonal

Cell and atoms, written as CIF:
```
data_Y2MnPt
_cell_length_a 3.547
_cell_length_b 3.547
_cell_length_c 6.945
_cell_angle_alpha 90.00
_cell_angle_beta 90.00
_cell_angle_gamma 90.00
_symmetry_space_group_name_H-M 'P 1'
_symmetry_Int_Tables_number 1
loop_
_symmetry_equiv_pos_as_xyz
'x,y,z'
loop_
_atom_site_label
_atom_site_type_symbol
_atom_site_fract_x
_atom_site_fract_y
_atom_site_fract_z
Y1 Y 0.000 0.000 0.506
Y2 Y 0.000 0.000 0.994
Pt1 Pt 0.500 0.500 0.750
Mn1 Mn 0.500 0.500 0.250
```



No. 6
Entry from the Alexandria database: a relaxed structure of GaSn4Te5 (PBE-GGA).

## Properties
DOS(E_F) = 3.62 states/eV/f.u.
Formation energy without anion corrections = -0.261 eV/atom
V = 31.44 Å³ per atom
Total magnetic moment = 0.000 μB per atom
Density = 6.25 g/cm3
Crystal system = orthorhombic

Cell and atoms, written as CIF:
```
data_GaSn4Te5
_cell_length_a 4.450
_cell_length_b 6.307
_cell_length_c 11.846
_cell_angle_alpha 105.44
_cell_angle_beta 100.83
_cell_angle_gamma 90.00
_symmetry_space_group_name_H-M 'P 1'
_symmetry_Int_Tables_number 1
loop_
_symmetry_equiv_pos_as_xyz
'x,y,z'
loop_
_atom_site_label
_atom_site_type_symbol
_atom_site_fract_x
_atom_site_fract_y
_atom_site_fract_z
Sn1 Sn 0.599 0.599 0.198
Sn2 Sn 0.195 0.195 0.391
Sn3 Sn 0.805 0.805 0.609
Sn4 Sn 0.401 0.401 0.802
Te1 Te 0.201 0.701 0.402
Te2 Te 0.404 0.904 0.807
Te3 Te 0.000 0.500 0.000
Te4 Te 0.799 0.299 0.598
Te5 Te 0.596 0.096 0.193
Ga1 Ga 0.000 0.000 0.000
```



No. 7
Entry from the Alexandria database: a relaxed structure of LiTlSi2Br (PBE-GGA).

## Properties
DOS(E_F) = 2.86 states/eV/f.u.
Formation energy without anion corrections = 0.838 eV/atom
V = 31.11 Å³ per atom
Total magnetic moment = 0.000 μB per atom
Density = 3.71 g/cm3
Crystal system = tetragonal

Cell and atoms, written as CIF:
```
data_LiTlSi2Br
_cell_length_a 5.137
_cell_length_b 5.893
_cell_length_c 5.137
_cell_angle_alpha 90.00
_cell_angle_beta 90.00
_cell_angle_gamma 90.00
_symmetry_space_group_name_H-M 'P 1'
_symmetry_Int_Tables_number 1
loop_
_symmetry_equiv_pos_as_xyz
'x,y,z'
loop_
_atom_site_label
_atom_site_type_symbol
_atom_site_fract_x
_atom_site_fract_y
_atom_site_fract_z
Br1 Br 0.000 0.000 0.000
Si1 Si 0.000 0.000 0.500
Si2 Si 0.500 0.000 0.000
Li1 Li 0.500 0.500 0.500
Tl1 Tl 0.000 0.500 0.000
```



No. 8
Entry from the Alexandria database: a relaxed structure of AgOsAuCl2 (PBE-GGA).

## Properties
DOS(E_F) = 4.14 states/eV/f.u.
Formation energy without anion corrections = 0.613 eV/atom
V = 23.13 Å³ per atom
Total magnetic moment = 0.218 μB per atom
Density = 8.12 g/cm3
Crystal system = tetragonal

Cell and atoms, written as CIF:
```
data_AgOsAuCl2
_cell_length_a 4.600
_cell_length_b 5.467
_cell_length_c 4.600
_cell_angle_alpha 90.00
_cell_angle_beta 90.00
_cell_angle_gamma 90.00
_symmetry_space_group_name_H-M 'P 1'
_symmetry_Int_Tables_number 1
loop_
_symmetry_equiv_pos_as_xyz
'x,y,z'
loop_
_atom_site_label
_atom_site_type_symbol
_atom_site_fract_x
_atom_site_fract_y
_atom_site_fract_z
Os1 Os 0.000 0.000 0.000
Ag1 Ag 0.500 0.500 0.500
Cl1 Cl 0.000 0.000 0.500
Cl2 Cl 0.500 0.000 0.000
Au1 Au 0.000 0.500 0.000
```